Entry 1:
ZrV4Cr | Alexandria | PBE | relaxed; volume = 90.42 Å³/cell; D(E_F) = 1.67 states/eV/atom; M_tot = 0.2 μB per formula unit; density = 6.372 g/cm³; uncorrected energy = -53.64 eV/f.u.; energy of formation from the pure elements = 1.0 eV/f.u.
1.0
-0.004 4.436 -2.387
-0.632 0.172 -4.995
-4.282 1.815 -1.937
Cr Zr V
1 1 4
Direct
0.000 0.000 0.000
0.250 0.250 0.250
0.625 0.625 0.126
0.625 0.126 0.625
0.625 0.625 0.625
0.126 0.625 0.625

=====

Entry 2:
La2In8Au | Alexandria | PBE | relaxed; volume = 292.34 Å³/cell; D(E_F) = 0.51 states/eV/atom; M_tot = 0.0 μB per formula unit; density = 7.914 g/cm³; uncorrected energy = -39.52 eV/f.u.; energy of formation from the pure elements = -4.5 eV/f.u.
1.0
-3.341 -1.961 -2.902
1.666 -4.417 1.067
-7.942 -0.676 9.599
La In Au
2 8 1
Direct
0.000 0.000 0.308
0.000 0.000 0.692
0.000 0.500 0.500
0.500 0.000 0.500
0.500 0.500 0.309
0.500 0.500 0.691
0.000 0.500 0.127
0.500 0.000 0.127
0.000 0.500 0.873
0.500 0.000 0.873
0.000 0.000 0.000

=====

Entry 3:
YTlZn | Alexandria | PBE | relaxed; volume = 143.56 Å³/cell; D(E_F) = 0.70 states/eV/atom; M_tot = 0.0 μB per formula unit; density = 8.298 g/cm³; uncorrected energy = -10.99 eV/f.u.; energy of formation from the pure elements = -0.9 eV/f.u.
1.0
4.626 -0.002 -0.063
0.012 3.710 0.312
-4.480 -1.145 8.331
Y Zn Tl
2 2 2
Direct
0.282 0.389 0.553
0.212 0.446 0.983
0.926 0.921 0.696
0.568 0.915 0.840
0.903 0.048 0.173
0.592 0.786 0.363

=====

Entry 4:
NdDy4Y2Ho2 | Alexandria | PBE | relaxed; volume = 291.06 Å³/cell; D(E_F) = 1.77 states/eV/atom; M_tot = 0.0 μB per formula unit; density = 7.428 g/cm³; uncorrected energy = -44.53 eV/f.u.; energy of formation from the pure elements = 0.7 eV/f.u.
1.0
6.194 2.474 0.845
1.336 9.532 2.201
-3.246 -4.069 4.156
Nd Dy Y Ho
1 4 2 2
Direct
0.000 0.000 0.000
0.730 0.882 0.194
0.625 0.757 0.510
0.270 0.118 0.806
0.375 0.243 0.490
0.270 0.657 0.598
0.730 0.343 0.402
0.817 0.445 0.035
0.183 0.555 0.965

=====

Entry 5:
Li4Sn3Bi | Alexandria | PBE | relaxed; volume = 170.42 Å³/cell; D(E_F) = 0.34 states/eV/atom; M_tot = 0.0 μB per formula unit; density = 5.777 g/cm³; uncorrected energy = -26.14 eV/f.u.; energy of formation from the pure elements = -2.6 eV/f.u.
1.0
-2.928 -0.795 1.597
0.295 -3.242 -1.073
7.441 -3.296 12.002
Bi Sn Li
1 3 4
Direct
0.500 0.500 0.000
0.500 0.500 0.261
0.500 0.500 0.500
0.500 0.500 0.739
0.000 0.000 0.862
0.000 0.000 0.138
0.000 0.000 0.382
0.000 0.000 0.618

=====

Entry 6:
MgRePb | Alexandria | PBE | relaxed; volume = 69.52 Å³/cell; D(E_F) = 1.21 states/eV/atom; M_tot = 1.1 μB per formula unit; density = 9.978 g/cm³; uncorrected energy = -14.94 eV/f.u.; energy of formation from the pure elements = 2.8 eV/f.u.
1.0
4.615 0.000 0.000
2.308 3.997 0.000
2.308 1.332 3.768
Mg Pb Re
1 1 1
Direct
0.000 0.000 0.000
0.500 0.500 0.500
0.750 0.750 0.750

=====

Entry 7:
Ac6TlSi2Se3 | Alexandria | PBE | relaxed; volume = 410.55 Å³/cell; D(E_F) = 0.67 states/eV/atom; M_tot = 0.0 μB per formula unit; density = 7.521 g/cm³; uncorrected energy = -62.27 eV/f.u.; raw formation energy = -112.2 kJ per mole of atoms
1.0
4.561 0.000 0.000
0.000 9.259 0.271
-2.281 -2.731 9.641
Ac Tl Si Se
6 1 2 3
Direct
0.329 0.905 0.658
0.671 0.574 0.341
0.671 0.095 0.342
0.002 0.264 0.004
0.998 0.736 0.996
0.329 0.426 0.659
0.500 0.000 0.000
0.835 0.669 0.669
0.165 0.331 0.331
0.500 0.500 0.000
0.833 0.168 0.666
0.167 0.832 0.334

=====

Entry 8:
Nd6Cd5 | Alexandria | PBE | relaxed; volume = 333.80 Å³/cell; D(E_F) = 1.32 states/eV/atom; M_tot = 1.7 μB per formula unit; density = 7.101 g/cm³; uncorrected energy = -35.61 eV/f.u.; energy of formation from the pure elements = -2.4 eV/f.u.
1.0
5.051 0.000 1.762
0.000 7.813 0.000
-0.106 0.000 8.422
Nd Cd
6 5
Direct
0.500 0.244 0.000
0.500 0.756 0.000
0.161 0.246 0.677
0.161 0.754 0.677
0.839 0.754 0.323
0.839 0.246 0.323
0.000 0.500 0.000
0.327 0.000 0.346
0.673 0.000 0.654
0.669 0.500 0.661
0.331 0.500 0.339